## Hg2PBr2F4 (PBE)

Data for a relaxed structure of Hg2PBr2F4.

```
data_Hg2PBr2F4
_chemical_formula_sum 'Hg4 P2 Br4 F8'
_cell_length_a 13.314
_cell_length_b 5.934
_cell_length_c 5.150
_cell_angle_alpha 90.00
_cell_angle_beta 95.08
_cell_angle_gamma 90.00
_space_group_name_H-M_alt 'C 1 2/m 1'
_space_group_IT_number 12
_space_group_name_Hall '-C 2y'
loop_
_atom_site_label
_atom_site_fract_x
_atom_site_fract_y
_atom_site_fract_z
Hg1 0.160 0.000 0.314
P1 0.000 0.000 0.000
Br1 0.183 0.500 0.323
F1 0.048 0.196 0.820
```

Properties
* density of states at the Fermi level: 4.2 states/eV per cell
* raw formation energy: -1.302 eV/atom
* E: -3.17 eV/atom

## Rb2HgBrF6 (PBE)

Data for a relaxed structure of Rb2HgBrF6.

```
data_Rb2HgBrF6
_chemical_formula_sum 'Rb4 Hg2 Br2 F12'
_cell_length_a 6.428
_cell_length_b 6.428
_cell_length_c 10.265
_cell_angle_alpha 90.00
_cell_angle_beta 90.00
_cell_angle_gamma 90.00
_space_group_name_H-M_alt 'I 4/m m m'
_space_group_IT_number 139
_space_group_name_Hall '-I 4 2'
loop_
_atom_site_label
_atom_site_fract_x
_atom_site_fract_y
_atom_site_fract_z
Rb1 0.000 0.500 0.250
Hg1 0.000 0.000 0.000
Br1 0.000 0.000 0.500
F1 0.000 0.000 0.208
F2 0.237 0.237 0.500
```

Properties
* density of states at the Fermi level: 7.0 states/eV per cell
* raw formation energy: -1.667 eV/atom
* E: -3.18 eV/atom

## Rb2HgBr6F (PBE)

Data for a relaxed structure of Rb2HgBr6F.

```
data_Rb2HgBr6F
_chemical_formula_sum 'Rb4 Hg2 Br12 F2'
_cell_length_a 7.616
_cell_length_b 7.616
_cell_length_c 10.803
_cell_angle_alpha 90.00
_cell_angle_beta 90.00
_cell_angle_gamma 90.00
_space_group_name_H-M_alt 'I 4/m m m'
_space_group_IT_number 139
_space_group_name_Hall '-I 4 2'
loop_
_atom_site_label
_atom_site_fract_x
_atom_site_fract_y
_atom_site_fract_z
Rb1 0.000 0.500 0.250
Hg1 0.000 0.000 0.000
Br1 0.000 0.000 0.249
Br2 0.250 0.250 0.000
F1 0.000 0.000 0.500
```

Properties
* density of states at the Fermi level: 10.7 states/eV per cell
* raw formation energy: -0.788 eV/atom
* E: -2.20 eV/atom

## ReHgBr2F6 (PBE)

Data for a relaxed structure of ReHgBr2F6.

```
data_ReHgBr2F6
_chemical_formula_sum 'Re2 Hg2 Br4 F12'
_cell_length_a 7.196
_cell_length_b 8.792
_cell_length_c 7.749
_cell_angle_alpha 90.00
_cell_angle_beta 90.00
_cell_angle_gamma 90.00
_space_group_name_H-M_alt 'P m m n'
_space_group_IT_number 59
loop_
_space_group_symop_operation_xyz
'x,y,z'
'-x,-y,-z'
'-x+1/2,-y+1/2,z'
'x+1/2,y+1/2,-z'
'x+1/2,-y,-z'
'-x+1/2,y,z'
'-x,y+1/2,-z'
'x,-y+1/2,z'
loop_
_atom_site_label
_atom_site_fract_x
_atom_site_fract_y
_atom_site_fract_z
Re1 0.250 0.250 0.001
Hg1 0.250 0.750 0.501
Br1 0.250 0.026 0.501
F1 0.065 0.250 0.172
F2 0.065 0.250 0.830
F3 0.250 0.037 0.001
```

Properties
* density of states at the Fermi level: 20.8 states/eV per cell
* raw formation energy: -1.597 eV/atom
* E: -4.33 eV/atom

## Re2HgBrF (PBE)

Data for a relaxed structure of Re2HgBrF.

```
data_Re2HgBrF
_chemical_formula_sum 'Re2 Hg1 Br1 F1'
_cell_length_a 5.402
_cell_length_b 5.402
_cell_length_c 4.694
_cell_angle_alpha 90.00
_cell_angle_beta 90.00
_cell_angle_gamma 90.00
_space_group_name_H-M_alt 'P 4/m m m'
_space_group_IT_number 123
_space_group_name_Hall '-P 4 2'
loop_
_atom_site_label
_atom_site_fract_x
_atom_site_fract_y
_atom_site_fract_z
Re1 0.000 0.500 0.000
Hg1 0.000 0.000 0.000
Br1 0.500 0.500 0.500
F1 0.000 0.000 0.500
```

Properties
* density of states at the Fermi level: 3.3 states/eV per cell
* raw formation energy: 1.847 eV/atom
* E: -3.90 eV/atom

## HgRh2BrF (PBE)

Data for a relaxed structure of HgRh2BrF.

```
data_HgRh2BrF
_chemical_formula_sum 'Hg1 Rh2 Br1 F1'
_cell_length_a 4.211
_cell_length_b 4.211
_cell_length_c 5.425
_cell_angle_alpha 90.00
_cell_angle_beta 90.00
_cell_angle_gamma 90.00
_space_group_name_H-M_alt 'P 4/m m m'
_space_group_IT_number 123
_space_group_name_Hall '-P 4 2'
loop_
_atom_site_label
_atom_site_fract_x
_atom_site_fract_y
_atom_site_fract_z
Hg1 0.000 0.000 0.000
Rh1 0.000 0.500 0.500
Br1 0.500 0.500 0.000
F1 0.500 0.500 0.500
```

Properties
* density of states at the Fermi level: 8.7 states/eV per cell
* raw formation energy: 0.463 eV/atom
* E: -3.25 eV/atom

## HgRhBrF2 (PBE)

Data for a relaxed structure of HgRhBrF2.

```
data_HgRhBrF2
_chemical_formula_sum 'Hg1 Rh1 Br1 F2'
_cell_length_a 4.373
_cell_length_b 4.373
_cell_length_c 4.858
_cell_angle_alpha 90.00
_cell_angle_beta 90.00
_cell_angle_gamma 90.00
_space_group_name_H-M_alt 'P 4/m m m'
_space_group_IT_number 123
_space_group_name_Hall '-P 4 2'
loop_
_atom_site_label
_atom_site_fract_x
_atom_site_fract_y
_atom_site_fract_z
Hg1 0.000 0.000 0.000
Rh1 0.500 0.500 0.000
Br1 0.500 0.500 0.500
F1 0.000 0.500 0.500
```

Properties
* density of states at the Fermi level: 3.6 states/eV per cell
* raw formation energy: -0.093 eV/atom
* E: -2.71 eV/atom

## Hg3RhBr2F6 (PBE)

Data for a relaxed structure of Hg3RhBr2F6.

```
data_Hg3RhBr2F6
_chemical_formula_sum 'Hg6 Rh2 Br4 F12'
_cell_length_a 13.011
_cell_length_b 6.651
_cell_length_c 5.586
_cell_angle_alpha 90.00
_cell_angle_beta 92.31
_cell_angle_gamma 90.00
_space_group_name_H-M_alt 'C 1 2/m 1'
_space_group_IT_number 12
_space_group_name_Hall '-C 2y'
loop_
_atom_site_label
_atom_site_fract_x
_atom_site_fract_y
_atom_site_fract_z
Hg1 0.000 0.000 0.000
Hg2 0.250 0.250 0.500
Rh1 0.000 0.500 0.500
Br1 0.189 0.000 0.906
F1 0.069 0.285 0.315
F2 0.128 0.500 0.701
```

Properties
* density of states at the Fermi level: 4.1 states/eV per cell
* raw formation energy: -1.120 eV/atom
* E: -3.02 eV/atom

## Hg2SBrF (PBE)

Data for a relaxed structure of Hg2SBrF.

```
data_Hg2SBrF
_chemical_formula_sum 'Hg8 S4 Br4 F4'
_cell_length_a 13.227
_cell_length_b 4.310
_cell_length_c 9.965
_cell_angle_alpha 90.00
_cell_angle_beta 108.04
_cell_angle_gamma 90.00
_space_group_name_H-M_alt 'C 1 2/m 1'
_space_group_IT_number 12
_space_group_name_Hall '-C 2y'
loop_
_atom_site_label
_atom_site_fract_x
_atom_site_fract_y
_atom_site_fract_z
Hg1 0.070 0.000 0.348
Hg2 0.137 0.500 0.887
S1 0.050 0.500 0.207
Br1 0.160 0.000 0.625
F1 0.195 0.000 0.040
```

Properties
* raw formation energy: -0.635 eV/atom
* E: -2.29 eV/atom

## HgSbBr2F (PBE)

Data for a relaxed structure of HgSbBr2F.

```
data_HgSbBr2F
_chemical_formula_sum 'Hg1 Sb1 Br2 F1'
_cell_length_a 5.683
_cell_length_b 5.683
_cell_length_c 4.451
_cell_angle_alpha 90.00
_cell_angle_beta 90.00
_cell_angle_gamma 90.00
_space_group_name_H-M_alt 'P 4/m m m'
_space_group_IT_number 123
_space_group_name_Hall '-P 4 2'
loop_
_atom_site_label
_atom_site_fract_x
_atom_site_fract_y
_atom_site_fract_z
Hg1 0.000 0.000 0.000
Sb1 0.500 0.500 0.500
Br1 0.000 0.500 0.500
F1 0.500 0.500 0.000
```

Properties
* density of states at the Fermi level: 1.1 states/eV per cell
* raw formation energy: -0.785 eV/atom
* E: -2.71 eV/atom

## Hg2SbBrF (PBE)

Data for a relaxed structure of Hg2SbBrF.

```
data_Hg2SbBrF
_chemical_formula_sum 'Hg2 Sb1 Br1 F1'
_cell_length_a 5.674
_cell_length_b 5.674
_cell_length_c 4.354
_cell_angle_alpha 90.00
_cell_angle_beta 90.00
_cell_angle_gamma 90.00
_space_group_name_H-M_alt 'P 4/m m m'
_space_group_IT_number 123
_space_group_name_Hall '-P 4 2'
loop_
_atom_site_label
_atom_site_fract_x
_atom_site_fract_y
_atom_site_fract_z
Hg1 0.000 0.500 0.000
Sb1 0.000 0.000 0.000
Br1 0.500 0.500 0.500
F1 0.000 0.000 0.500
```

Properties
* density of states at the Fermi level: 1.2 states/eV per cell
* raw formation energy: -0.687 eV/atom
* E: -2.34 eV/atom

## SnHgBrF6 (PBE)

Data for a relaxed structure of SnHgBrF6.

```
data_SnHgBrF6
_chemical_formula_sum 'Sn1 Hg1 Br1 F6'
_cell_length_a 5.171
_cell_length_b 6.062
_cell_length_c 6.181
_cell_angle_alpha 108.46
_cell_angle_beta 95.39
_cell_angle_gamma 92.14
_space_group_name_H-M_alt 'P 1'
_space_group_IT_number 1
_space_group_name_Hall 'P 1'
loop_
_atom_site_label
_atom_site_fract_x
_atom_site_fract_y
_atom_site_fract_z
Sn1 0.000 0.000 0.000
Hg1 0.031 0.619 0.327
Br1 0.273 0.442 0.592
F1 0.181 0.008 0.313
F2 0.195 0.290 0.002
F3 0.306 0.818 0.882
F4 0.743 0.209 0.157
F5 0.821 0.706 0.042
F6 0.832 0.902 0.679
```

Properties
* raw formation energy: -1.722 eV/atom
* E: -3.63 eV/atom